(1)
Below is crystalline KY4Pb3O12 at its relaxed geometry, with properties calculated at the PBE level.

Properties
space group = Im-3
calculated volume = 15.6 A^3/atom
calculated total energy = -7.05 eV per atom

Cell lengths 7.4020, 7.4020, 7.4020 Å; angles 109.47, 109.47, 109.47 degrees
Fractional positions:
1 K 0.0000 0.0000 0.0000
2 Y 0.0000 0.0000 0.5000
3 Y 0.0000 0.5000 0.0000
4 Y 0.5000 0.0000 0.0000
5 Y 0.5000 0.5000 0.5000
6 Pb 0.0000 0.5000 0.5000
7 Pb 0.5000 0.0000 0.5000
8 Pb 0.5000 0.5000 0.0000
9 O 0.1359 0.8192 0.3168
10 O 0.1808 0.3168 0.4976
11 O 0.1808 0.6832 0.8641
12 O 0.3168 0.1359 0.8192
13 O 0.3168 0.4976 0.1808
14 O 0.4976 0.1808 0.3168
15 O 0.5024 0.8192 0.6832
16 O 0.6832 0.5024 0.8192
17 O 0.6832 0.8641 0.1808
18 O 0.8192 0.3168 0.1359
19 O 0.8192 0.6832 0.5024
20 O 0.8641 0.1808 0.6832

---

(2)
Below is crystalline KZnPbO3 at its relaxed geometry, with properties calculated at the PBE level.

Properties
space group = P2_1/m
calculated volume = 19.6 A^3/atom
calculated total energy = -4.66 eV per atom

Cell lengths 7.2234, 3.5228, 9.4126 Å; angles 90.00, 100.21, 90.00 degrees
Fractional positions:
1 K 0.2408 0.2500 0.2387
2 K 0.7592 0.7500 0.7613
3 Zn 0.3878 0.7500 0.9092
4 Zn 0.6122 0.2500 0.0908
5 Pb 0.1645 0.2500 0.6264
6 Pb 0.8355 0.7500 0.3736
7 O 0.1420 0.7500 0.7833
8 O 0.1516 0.7500 0.4513
9 O 0.4766 0.7500 0.1258
10 O 0.5234 0.2500 0.8742
11 O 0.8484 0.2500 0.5487
12 O 0.8580 0.2500 0.2167

---

Number 1: formation energy without anion corrections -2169.7 meV/atom. Number 2: formation energy without anion corrections -1162.9 meV/atom.